Dy3Si4Tc2: optimized geometry, PBE.

Output
The density of states at the Fermi level is 4.85 states/eV/cell. The calculation puts the total magnetization at 0.0 μB per cell. The value obtained for the energy relative to the elements, uncorrected is -712 meV per atom.

a = 4.1792 Å, b = 5.7570 Å, c = 8.1494 Å
α = 107.97°, β = 90.00°, γ = 111.28°
Element x y z (fractional)
Tc 0.3193 0.6385 0.6491
Dy 0.3779 0.7559 0.3030
Tc 0.6807 0.3615 0.3509
Dy 0.0000 0.0000 0.0000
Si 0.2844 0.5688 0.9258
Si 0.0991 0.1981 0.4164
Si 0.7156 0.4312 0.0742
Dy 0.6221 0.2441 0.6970
Si 0.9009 0.8019 0.5836